Record 1
DFT (PBE-GGA) results for BaCaMg2 after structural relaxation.

The theoretical density comes out at 2.6 Mg/m³. The calculation puts the formation energy at -0.1 eV/f.u.

The space group is Cmmm (No. 65) and the conventional cell measures 8.4683, 8.4806 and 4.0092 Å, with angles of 90.00, 90.00 and 90.00 degrees. Symmetry generates all atoms from Ba at (0.0000, 0.0000, 0.0000), Ca at (0.0000, 0.5000, 0.0000) and Mg at (0.2500, 0.2500, 0.5000).


Record 2
DFT (PBE-GGA) results for Ba6Ca2Mg after structural relaxation.

The theoretical density comes out at 3.2 Mg/m³. The calculation puts the formation energy at 1.0 eV/f.u.

The space group is Immm (No. 71) and the conventional cell measures 7.0165, 11.3152 and 12.2697 Å, with angles of 90.00, 90.00 and 90.00 degrees. Symmetry generates all atoms from Ba at (0.0000, 0.1740, 0.0000), Ba at (0.0000, 0.1909, 0.3375), Ca at (0.0000, 0.5000, 0.1692) and Mg at (0.0000, 0.5000, 0.5000).


Record 3
DFT (PBE-GGA) results for BaCa3Mg8 after structural relaxation.

The theoretical density comes out at 2.1 Mg/m³. The calculation puts the formation energy at -1.2 eV/f.u.

The space group is R3m (No. 160, hexagonal axes) and the conventional cell measures 6.3100, 6.3100 and 31.0280 Å, with angles of 90.00, 90.00 and 120.00 degrees. Symmetry generates all atoms from Ba at (0.0000, 0.0000, 0.0000), Ca at (0.0000, 0.0000, 0.3775), Ca at (0.0000, 0.0000, 0.5006), Ca at (0.0000, 0.0000, 0.8737), Mg at (0.0000, 0.0000, 0.1876), Mg at (0.0000, 0.0000, 0.6886), Mg at (0.0026, 0.5013, 0.4399) and Mg at (0.1679, 0.3359, 0.2688).


Record 4
DFT (PBE-GGA) results for BaCa2Mg2 after structural relaxation.

The theoretical density comes out at 2.2 Mg/m³. The calculation puts the formation energy at 0.2 eV/f.u.

The space group is P-3m1 (No. 164) and the conventional cell measures 5.8792, 5.8792 and 6.7643 Å, with angles of 90.00, 90.00 and 120.00 degrees. Symmetry generates all atoms from Ba at (0.0000, 0.0000, 0.0000), Ca at (0.3333, 0.6667, 0.6475) and Mg at (0.3333, 0.6667, 0.1446).


Record 5
DFT (PBE-GGA) results for BaCa2Mg2 after structural relaxation.

The theoretical density comes out at 2.2 Mg/m³. The calculation puts the formation energy at 0.8 eV/f.u.

The space group is I4/mmm (No. 139) and the conventional cell measures 4.8567, 4.8567 and 16.9957 Å, with angles of 90.00, 90.00 and 90.00 degrees. Symmetry generates all atoms from Ba at (0.0000, 0.0000, 0.0000), Ca at (0.0000, 0.0000, 0.3874) and Mg at (0.0000, 0.5000, 0.2500).


Record 6
DFT (PBE-GGA) results for BaCaMg2 after structural relaxation.

The theoretical density comes out at 2.6 Mg/m³. The calculation puts the formation energy at 0.0 eV/f.u.

The space group is Cm (No. 8) and the conventional cell measures 13.0433, 3.8701 and 6.1430 Å, with angles of 90.00, 111.32 and 90.00 degrees. Symmetry generates all atoms from Ba at (0.0000, 0.0000, 0.0000), Ca at (0.2963, 0.5000, 0.3448), Mg at (0.0468, 0.5000, 0.5318) and Mg at (0.2414, 0.0000, 0.7942).


Record 7
DFT (PBE-GGA) results for Ba2Ca2Mg after structural relaxation.

The theoretical density comes out at 2.5 Mg/m³. The calculation puts the formation energy at 1.0 eV/f.u.

The space group is I4/mmm (No. 139) and the conventional cell measures 4.7571, 4.7571 and 21.9783 Å, with angles of 90.00, 90.00 and 90.00 degrees. Symmetry generates all atoms from Ba at (0.0000, 0.0000, 0.0912), Ca at (0.0000, 0.5000, 0.2500) and Mg at (0.0000, 0.0000, 0.5000).


Record 8
DFT (PBE-GGA) results for BaCaMg2 after structural relaxation.

The theoretical density comes out at 2.6 Mg/m³. The calculation puts the formation energy at 0.0 eV/f.u.

The space group is Imm2 (No. 44) and the conventional cell measures 3.9337, 6.0641 and 12.1297 Å, with angles of 90.00, 90.00 and 90.00 degrees. Symmetry generates all atoms from Ba at (0.0000, 0.0000, 0.0000), Ca at (0.0000, 0.5000, 0.7952), Mg at (0.0000, 0.0000, 0.5420) and Mg at (0.0000, 0.5000, 0.2376).